# LaTlAu2

A relaxed LaTlAu2 crystal (PBE, Alexandria via LeMat-Bulk). Values from VASP.

```
&SYSTEM
  ibrav = 0, nat = 4, ntyp = 3
/
ATOMIC_SPECIES
La 138.91 La.upf
Tl 204.38 Tl.upf
Au 196.97 Au.upf
ATOMIC_POSITIONS crystal
La 0.0000 0.0000 0.0000
Tl 0.5000 0.5000 0.0000
Au 0.0000 0.5000 0.5000
Au 0.5000 0.0000 0.5000
CELL_PARAMETERS angstrom
3.5085 -3.5132 0.0000
3.5085 3.5132 0.0000
-0.0080 0.0000 4.0698
```

Summary:
Crystal system ... monoclinic
Energy relative to the lowest polymorph listed for this composition ... 119.4 meV per atom
E ... -3.95 eV/atom
Space-group type ... C2/m
ΔH_f (0 K) ... -489.7 meV per atom
Magnetization ... 0.00 μB per atom